[1]
Pr2Tm3Bi2, optimized geometry, DFT PBE; magnetization = 0.000 μB/atom; V = 446 Å³/cell; raw total energy = -68.0 eV per cell; DFT formation energy = -0.465 eV per atom; DOS(E_F) = 17.40 states/eV/cell
1.0
12.396 0.000 0.000
0.000 4.367 0.000
-3.110 0.000 8.245
Pr Tm Bi
4 6 4
direct
0.129 0.000 0.285
0.371 0.500 0.715
0.629 0.500 0.285
0.871 0.000 0.715
0.000 0.500 0.500
0.123 0.500 0.946
0.377 0.000 0.054
0.500 0.000 0.500
0.623 0.000 0.946
0.877 0.500 0.054
0.169 0.000 0.702
0.331 0.500 0.298
0.669 0.500 0.702
0.831 0.000 0.298

---

[2]
Pr8TmBi6, optimized geometry, DFT PBE; magnetization = 0.000 μB/atom; V = 537 Å³/cell; raw total energy = -74.8 eV per cell; DFT formation energy = -0.585 eV per atom; DOS(E_F) = 17.54 states/eV/cell
1.0
4.198 2.424 8.803
-4.198 2.424 8.803
0.000 -4.848 8.803
Pr Tm Bi
8 1 6
direct
0.035 0.719 0.381
0.167 0.167 0.167
0.281 0.619 0.965
0.381 0.035 0.719
0.619 0.965 0.281
0.719 0.381 0.035
0.833 0.833 0.833
0.965 0.281 0.619
0.500 0.500 0.500
0.113 0.433 0.759
0.241 0.887 0.567
0.433 0.759 0.113
0.567 0.241 0.887
0.759 0.113 0.433
0.887 0.567 0.241

---

[3]
PrTm2Bi, optimized geometry, DFT PBE; offset from the most stable computed form = 52 meV/atom; magnetization = 0.000 μB/atom; V = 118 Å³/cell; raw total energy = -18.9 eV per cell; DFT formation energy = -0.335 eV per atom; DOS(E_F) = 4.99 states/eV/cell
1.0
4.910 0.000 0.000
0.000 4.910 0.000
0.000 0.000 4.885
Pr Tm Bi
1 2 1
direct
0.000 0.000 0.000
0.000 0.500 0.500
0.500 0.000 0.500
0.500 0.500 0.000

---

[4]
PrTm2Bi, optimized geometry, DFT PBE; offset from the most stable computed form = 430 meV/atom; magnetization = 0.000 μB/atom; V = 395 Å³/cell; raw total energy = -52.3 eV per cell; DFT formation energy = 0.043 eV per atom; DOS(E_F) = 9.34 states/eV/cell
1.0
3.561 0.000 0.000
-1.780 3.084 0.000
0.000 0.000 36.004
Pr Tm Bi
3 6 3
direct
0.000 0.000 0.000
0.333 0.667 0.667
0.667 0.333 0.333
0.000 0.000 0.413
0.000 0.000 0.587
0.333 0.667 0.080
0.333 0.667 0.254
0.667 0.333 0.746
0.667 0.333 0.920
0.000 0.000 0.500
0.333 0.667 0.167
0.667 0.333 0.833

---

[5]
PrTm2Bi2, optimized geometry, DFT PBE; magnetization = 0.000 μB/atom; V = 334 Å³/cell; raw total energy = -47.3 eV per cell; DFT formation energy = -0.436 eV per atom; DOS(E_F) = 9.78 states/eV/cell
1.0
5.245 -6.212 0.000
5.245 6.212 0.000
-3.431 0.000 5.132
Pr Tm Bi
2 4 4
direct
0.097 0.903 0.750
0.903 0.097 0.250
0.228 0.407 0.016
0.407 0.228 0.516
0.593 0.772 0.484
0.772 0.593 0.984
0.188 0.812 0.250
0.372 0.628 0.750
0.628 0.372 0.250
0.812 0.188 0.750

---

[6]
PrTmBi, optimized geometry, DFT PBE; magnetization = 0.000 μB/atom; V = 98 Å³/cell; raw total energy = -14.0 eV per cell; DFT formation energy = -0.299 eV per atom; DOS(E_F) = 3.83 states/eV/cell
1.0
5.248 0.000 0.000
-2.624 4.544 0.000
0.000 0.000 4.090
Pr Tm Bi
1 1 1
direct
0.000 0.000 0.000
0.333 0.667 0.522
0.667 0.333 0.415

---

[7]
Pr2TmBi4, optimized geometry, DFT PBE; magnetization = 0.000 μB/atom; V = 242 Å³/cell; raw total energy = -34.0 eV per cell; DFT formation energy = -0.635 eV per atom; DOS(E_F) = 2.86 states/eV/cell
1.0
4.519 0.000 0.000
0.000 4.519 0.000
0.000 0.000 11.836
Pr Tm Bi
2 1 4
direct
0.000 0.500 0.216
0.500 0.000 0.784
0.000 0.000 0.500
0.000 0.000 0.000
0.000 0.500 0.676
0.500 0.000 0.324
0.500 0.500 0.000

---

[8]
PrTm2Bi4, optimized geometry, DFT PBE; magnetization = 0.000 μB/atom; V = 442 Å³/cell; raw total energy = -66.9 eV per cell; DFT formation energy = -0.599 eV per atom; DOS(E_F) = 5.97 states/eV/cell
1.0
2.267 -5.738 0.000
2.267 5.738 0.000
0.000 0.000 17.006
Pr Tm Bi
2 4 8
direct
0.059 0.941 0.750
0.941 0.059 0.250
0.343 0.657 0.574
0.343 0.657 0.926
0.657 0.343 0.074
0.657 0.343 0.426
0.000 0.000 0.000
0.000 0.000 0.500
0.344 0.656 0.118
0.344 0.656 0.382
0.349 0.651 0.750
0.651 0.349 0.250
0.656 0.344 0.618
0.656 0.344 0.882

---

[9]
PrTm5Bi6, optimized geometry, DFT PBE; magnetization = 0.000 μB/atom; V = 379 Å³/cell; raw total energy = -60.1 eV per cell; DFT formation energy = -0.805 eV per atom; DOS(E_F) = 2.12 states/eV/cell
1.0
3.871 -6.707 0.000
3.871 6.707 0.000
-2.588 0.000 7.299
Pr Tm Bi
1 5 6
direct
0.000 0.000 0.000
0.162 0.838 0.500
0.332 0.668 0.000
0.500 0.500 0.500
0.668 0.332 0.000
0.838 0.162 0.500
0.086 0.427 0.256
0.258 0.258 0.748
0.427 0.086 0.256
0.573 0.914 0.744
0.742 0.742 0.252
0.914 0.573 0.744

---

[10]
PrTm3Bi2, optimized geometry, DFT PBE; magnetization = 0.000 μB/atom; V = 371 Å³/cell; raw total energy = -57.6 eV per cell; DFT formation energy = -0.472 eV per atom; DOS(E_F) = 11.54 states/eV/cell
1.0
9.377 -2.179 0.000
9.377 2.179 0.000
-3.899 0.000 9.087
Pr Tm Bi
2 6 4
direct
0.112 0.112 0.121
0.888 0.888 0.879
0.058 0.058 0.670
0.311 0.311 0.112
0.365 0.365 0.522
0.635 0.635 0.478
0.689 0.689 0.888
0.942 0.942 0.330
0.246 0.246 0.706
0.487 0.487 0.157
0.513 0.513 0.843
0.754 0.754 0.294

---

[11]
PrTm4Bi5, optimized geometry, DFT PBE; magnetization = 0.000 μB/atom; V = 317 Å³/cell; raw total energy = -50.2 eV per cell; DFT formation energy = -0.808 eV per atom; DOS(E_F) = 1.94 states/eV/cell
1.0
-2.237 3.170 11.183
2.237 -3.170 11.183
2.237 3.170 -11.183
Pr Tm Bi
1 4 5
direct
0.000 0.000 0.000
0.203 0.203 0.000
0.400 0.400 0.000
0.600 0.600 0.000
0.797 0.797 0.000
0.105 0.605 0.500
0.301 0.801 0.500
0.500 0.000 0.500
0.699 0.199 0.500
0.895 0.395 0.500

---

[12]
PrTmBi, optimized geometry, DFT PBE; magnetization = 0.000 μB/atom; V = 201 Å³/cell; raw total energy = -28.4 eV per cell; DFT formation energy = -0.359 eV per atom; DOS(E_F) = 5.40 states/eV/cell
1.0
2.653 1.532 8.253
-2.653 1.532 8.253
0.000 -3.063 8.253
Pr Tm Bi
2 2 2
direct
0.214 0.214 0.214
0.786 0.786 0.786
0.365 0.365 0.365
0.635 0.635 0.635
0.077 0.077 0.077
0.923 0.923 0.923

---

> magnetization of number 9 (PrTm5Bi6)?

0.000 μB/atom